(1)
DFT (PBE) results for a relaxed structure of Tl12HgTe6.

Cell and atoms, written as POSCAR:
```
Tl12HgTe6
1.0
7.919 4.572 3.242
-7.919 4.572 3.242
0.000 -9.144 3.242
Tl Hg Te
12 1 6
direct
0.066 0.932 0.346 Tl
0.068 0.654 0.934 Tl
0.218 0.670 0.468 Tl
0.330 0.532 0.782 Tl
0.346 0.066 0.932 Tl
0.468 0.218 0.670 Tl
0.532 0.782 0.330 Tl
0.654 0.934 0.068 Tl
0.670 0.468 0.218 Tl
0.782 0.330 0.532 Tl
0.932 0.346 0.066 Tl
0.934 0.068 0.654 Tl
0.500 0.500 0.500 Hg
0.011 0.253 0.374 Te
0.253 0.374 0.011 Te
0.374 0.011 0.253 Te
0.626 0.989 0.747 Te
0.747 0.626 0.989 Te
0.989 0.747 0.626 Te
```

Calculated values
- V: 37.07 A^3/atom
- M_tot: 0.000 μB/f.u.
- ΔE_f (raw): -215 meV/atom
- Symmetry: No. 148

(2)
DFT (PBE) results for a relaxed structure of PmGaSbPd.

Cell and atoms, written as POSCAR:
```
PmGaSbPd
1.0
0.000 3.531 3.531
3.531 0.000 3.531
3.531 3.531 0.000
Pm Ga Sb Pd
1 1 1 1
direct
0.000 0.000 0.000 Pm
0.750 0.750 0.750 Ga
0.500 0.500 0.500 Sb
0.250 0.250 0.250 Pd
```

Calculated values
- V: 22.01 A^3/atom
- M_tot: 0.000 μB/f.u.
- ΔE_f (raw): -547 meV/atom
- Symmetry: No. 216

(3)
DFT (PBE) results for a relaxed structure of TcW2Br.

Cell and atoms, written as POSCAR:
```
TcW2Br
1.0
1.463 0.845 8.843
-1.463 0.845 8.843
0.000 -1.689 8.843
Tc W Br
1 2 1
direct
0.000 0.000 0.000 Tc
0.252 0.252 0.252 W
0.748 0.748 0.748 W
0.500 0.500 0.500 Br
```

Calculated values
- V: 16.39 A^3/atom
- M_tot: 0.000 μB/f.u.
- ΔE_f (raw): 622 meV/atom
- Symmetry: No. 166

(4)
DFT (PBE) results for a relaxed structure of NdSm3Er7.

Cell and atoms, written as POSCAR:
```
NdSm3Er7
1.0
-2.901 5.568 5.596
2.901 -5.568 5.596
2.901 5.568 -5.596
Nd Sm Er
1 3 7
direct
0.000 0.000 0.000 Nd
0.290 0.790 0.500 Sm
0.500 0.500 0.000 Sm
0.710 0.210 0.500 Sm
0.000 0.500 0.500 Er
0.096 0.307 0.789 Er
0.295 0.000 0.295 Er
0.482 0.693 0.789 Er
0.518 0.307 0.211 Er
0.705 0.000 0.705 Er
0.904 0.693 0.211 Er
```

Calculated values
- V: 32.87 A^3/atom
- M_tot: 0.000 μB/f.u.
- Formation enthalpy at 0 K: 0.26 eV/atom
- Symmetry: No. 71

Copy entry 2 word for word.
DFT (PBE) results for a relaxed structure of PmGaSbPd.

Cell and atoms, written as POSCAR:
```
PmGaSbPd
1.0
0.000 3.531 3.531
3.531 0.000 3.531
3.531 3.531 0.000
Pm Ga Sb Pd
1 1 1 1
direct
0.000 0.000 0.000 Pm
0.750 0.750 0.750 Ga
0.500 0.500 0.500 Sb
0.250 0.250 0.250 Pd
```

Calculated values
- V: 22.01 A^3/atom
- M_tot: 0.000 μB/f.u.
- ΔE_f (raw): -547 meV/atom
- Symmetry: No. 216

Please write out number 4 again, unchanged.
DFT (PBE) results for a relaxed structure of NdSm3Er7.

Cell and atoms, written as POSCAR:
```
NdSm3Er7
1.0
-2.901 5.568 5.596
2.901 -5.568 5.596
2.901 5.568 -5.596
Nd Sm Er
1 3 7
direct
0.000 0.000 0.000 Nd
0.290 0.790 0.500 Sm
0.500 0.500 0.000 Sm
0.710 0.210 0.500 Sm
0.000 0.500 0.500 Er
0.096 0.307 0.789 Er
0.295 0.000 0.295 Er
0.482 0.693 0.789 Er
0.518 0.307 0.211 Er
0.705 0.000 0.705 Er
0.904 0.693 0.211 Er
```

Calculated values
- V: 32.87 A^3/atom
- M_tot: 0.000 μB/f.u.
- Formation enthalpy at 0 K: 0.26 eV/atom
- Symmetry: No. 71

Look up the M_tot of the second one.
0.000 μB/f.u.

Which value of V does entry 1 give?
37.07 A^3/atom